16
Lattice="-4.426 1.224 -5.347 -4.563 -4.273 3.255 2.518 5.280 3.415" Properties=species:S:1:pos:R:3 comment="RbCa2ScO4, relaxed, DFT PBE" sg="Imma (74)" formation_energy_uncorrected_ev_per_atom=-2.537 total_energy_ev_per_cell=-102.86 volume_a3_per_atom=15.1 pbc="T T T"
Rb -2.282 -2.137 1.628
Rb -5.449 1.728 -2.012
Ca -2.213 0.612 -2.673
Ca -5.517 -1.021 2.289
Ca -3.167 3.864 -3.639
Ca -4.495 -1.524 -1.046
Sc -3.236 1.115 0.662
Sc -6.471 2.231 1.323
O -4.744 -3.098 1.571
O -3.000 2.147 -1.108
O -3.471 0.083 2.431
O -1.727 5.329 -0.248
O -6.743 -2.349 -1.470
O -5.485 0.290 0.236
O -0.987 1.941 1.087
O 0.272 4.580 2.793


5
Lattice="4.008 0.000 0.000 0.000 4.008 0.000 0.000 0.000 4.084" Properties=species:S:1:pos:R:3 comment="CaTeN2O, relaxed, DFT PBE" sg="P4/mmm (123)" formation_energy_uncorrected_ev_per_atom=-0.183 total_energy_ev_per_cell=-27.67 volume_a3_per_atom=13.1 pbc="T T T"
Ca 2.004 2.004 2.042
Te 0.000 0.000 0.000
O 0.000 0.000 2.042
N 0.000 2.004 0.000
N 2.004 0.000 0.000


5
Lattice="5.074 0.000 0.000 0.000 5.074 0.000 0.000 0.000 5.802" Properties=species:S:1:pos:R:3 comment="CuSb2PbI, relaxed, DFT PBE" sg="P4/mmm (123)" formation_energy_uncorrected_ev_per_atom=0.320 total_energy_ev_per_cell=-16.00 volume_a3_per_atom=29.9 pbc="T T T"
Pb 2.537 2.537 2.901
I 0.000 0.000 2.901
Cu 0.000 0.000 0.000
Sb 0.000 2.537 0.000
Sb 2.537 0.000 0.000


12
Lattice="-2.945 1.312 4.617 -2.037 -10.000 -1.891 5.531 -1.869 4.060" Properties=species:S:1:pos:R:3 comment="LaPmNdEr3, relaxed, DFT PBE" sg="C2/m (12)" formation_enthalpy_0k_ev_per_atom=0.185 total_energy_ev_per_cell=-54.05 volume_a3_per_atom=33.3 pbc="T T T"
La 2.824 -8.398 4.189
La -2.276 -2.160 2.597
Pm 0.039 -2.994 4.311
Pm 0.509 -7.563 2.475
Nd 1.052 -1.500 1.097
Nd -0.503 -9.057 5.688
Er -2.403 -6.104 3.637
Er 0.743 -5.953 5.601
Er -1.924 -9.372 1.437
Er -0.194 -4.604 1.185
Er 2.472 -1.186 5.349
Er 2.951 -4.453 3.149


19
Lattice="-0.873 -5.057 -4.429 5.131 -1.903 4.000 -5.520 -0.009 3.935" Properties=species:S:1:pos:R:3 comment="AcU6N12, relaxed, DFT PBE" sg="R-3m (166)" formation_energy_uncorrected_ev_per_atom=-0.902 total_energy_ev_per_cell=-188.87 volume_a3_per_atom=14.1 pbc="T T T"
Ac 0.000 0.000 0.000
U -0.652 -3.700 -0.938
U -2.518 -1.674 2.420
U 1.758 -2.434 2.446
U 1.257 -5.296 1.086
U -0.609 -3.270 4.444
U -3.018 -4.536 1.060
N -2.888 -4.671 -1.416
N -0.926 -5.180 0.818
N -2.117 -3.886 2.962
N -1.874 -2.599 0.527
N 0.856 -3.084 0.544
N -0.335 -1.790 2.688
N -2.378 -1.587 4.898
N 3.374 -4.197 1.777
N 1.627 -2.299 4.922
N 1.117 -5.383 -1.391
N -4.635 -2.773 1.729
N 0.613 -4.371 2.979


8
Lattice="7.498 0.000 0.000 0.000 7.498 0.000 3.749 3.749 2.753" Properties=species:S:1:pos:R:3 comment="YV2Ga, relaxed, DFT PBE" sg="I-42d (122)" formation_enthalpy_0k_ev_per_atom=0.562 total_energy_ev_per_cell=-50.96 volume_a3_per_atom=19.3 pbc="T T T"
Y 0.000 0.000 0.000
Y 7.498 3.749 1.376
Ga 3.749 3.749 0.000
Ga 3.749 7.498 1.376
V 5.320 1.874 0.688
V 2.177 5.623 0.688
V 5.623 5.926 2.065
V 9.372 9.069 2.065


14
Lattice="-1.906 5.725 2.324 -2.428 -5.428 2.541 6.805 -0.201 6.075" Properties=species:S:1:pos:R:3 comment="CsRbCdH4, relaxed, DFT PBE" sg="Cmcm (63)" total_energy_ev_per_cell=-34.39 volume_a3_per_atom=23.7 pbc="T T T"
Cs 1.235 0.048 5.470
Cs -2.167 0.149 2.432
Rb -0.304 3.551 3.884
Rb 2.775 -3.454 7.055
Cd -0.652 -3.879 4.028
Cd 3.123 3.976 6.911
H 4.103 -0.573 5.663
H 1.724 -0.410 8.333
H 4.207 2.905 7.942
H 1.942 2.972 5.920
H -1.736 -2.808 2.997
H 0.529 -2.875 5.019
H -1.632 0.670 5.276
H 0.746 0.506 2.606


4
Lattice="2.846 0.000 0.000 0.000 2.882 0.003 0.000 -0.009 7.508" Properties=species:S:1:pos:R:3 comment="FeRh2Cl, relaxed, DFT PBE" sg="Pmm2 (25)" formation_energy_uncorrected_ev_per_atom=0.179 total_energy_ev_per_cell=-24.30 volume_a3_per_atom=15.4 pbc="T T T"
Rh 0.000 -0.008 7.413
Rh 1.423 1.439 1.704
Fe 1.423 1.434 5.770
Cl 0.000 1.436 3.889


4
Lattice="-1.636 4.091 2.268 -4.428 -2.041 0.487 1.336 -1.866 4.329" Properties=species:S:1:pos:R:3 comment="SmHo2Mg, relaxed, DFT PBE" sg="P4/mmm (123)" formation_enthalpy_0k_ev_per_atom=0.023 e_above_lowest_polymorph_ev_per_atom=0.0519 total_energy_ev_per_cell=-15.38 volume_a3_per_atom=29.7 pbc="T T T"
Mg -0.818 2.045 1.134
Ho 0.668 -0.933 2.165
Ho -2.214 -1.020 0.244
Sm -2.364 0.092 3.542


10
Lattice="-3.277 4.017 2.880 -3.616 0.407 -4.682 -3.322 -4.283 2.193" Properties=species:S:1:pos:R:3 comment="Sn2Ge2B, relaxed, DFT PBE" sg="P4/mbm (127)" formation_enthalpy_0k_ev_per_atom=0.487 total_energy_ev_per_cell=-42.96 volume_a3_per_atom=20.6 pbc="T T T"
Ge -4.181 1.726 -2.962
Ge -5.138 3.658 -0.640
Ge -2.713 2.697 1.159
Ge -1.755 0.766 -1.163
B 0.000 0.000 0.000
B -3.447 2.212 -0.901
Sn -5.523 -0.620 -1.782
Sn -6.815 1.349 0.107
Sn -4.693 0.761 2.172
Sn -3.401 -1.209 0.284


11
Lattice="-0.655 4.168 2.984 0.376 -4.427 3.674 5.581 -1.349 0.517" Properties=species:S:1:pos:R:3 comment="GaGe2F8, relaxed, DFT PBE" sg="C2/m (12)" formation_energy_uncorrected_ev_per_atom=-2.204 total_energy_ev_per_cell=-51.48 volume_a3_per_atom=14.1 pbc="T T T"
Ga 0.000 0.000 0.000
Ge 3.774 -2.769 3.522
Ge 1.529 1.161 3.653
F 5.194 -1.761 2.363
F 3.276 2.026 2.892
F 5.043 -4.066 4.350
F 0.260 2.458 2.825
F 2.027 -3.633 4.283
F 0.109 0.153 4.812
F 2.940 0.202 5.045
F 2.362 -1.810 2.131


9
Lattice="-4.607 1.330 -0.783 -0.678 -4.671 -3.943 -1.248 -0.808 5.968" Properties=species:S:1:pos:R:3 comment="Rb2ReF6, relaxed, DFT PBE" sg="P-3m1 (164)" formation_energy_uncorrected_ev_per_atom=-2.499 total_energy_ev_per_cell=-48.10 volume_a3_per_atom=17.7 pbc="T T T"
Re 0.000 0.000 0.000
Rb -2.228 -2.991 -0.870
Rb -4.305 -1.158 2.112
F -1.517 -0.695 1.084
F -2.176 -1.122 4.236
F -2.534 -3.588 2.154
F -5.016 -3.454 0.158
F -4.357 -3.027 -2.994
F -3.999 -0.561 -0.912


Q: Number 10 is which compound?
A: Sn2Ge2B